Density functional theory data (GGA-PBE) for a relaxed BaHoAgPb crystal.

Computed properties:
E_tot	-56.98	eV per cell

Cell: 7.9482 7.9482 7.9482 Å, 90.00 90.00 90.00°
Space group F-43m (No. 216)
Unique sites:
1 Ba 0.0000 0.0000 0.0000 [4 per cell]
2 Ho 0.0000 0.0000 0.5000 [4 per cell]
3 Ag 0.2500 0.2500 0.7500 [4 per cell]
4 Pb 0.2500 0.2500 0.2500 [4 per cell]

Density functional theory data (GGA-PBE) for a relaxed ReSiSb2 crystal.

Computed properties:
energy relative to the elements, uncorrected	0.099	eV per atom

Cell: 3.2224 3.2224 8.0102 Å, 90.00 90.00 90.00°
Space group P4mm (No. 99)
Unique sites:
1 Re 0.0000 0.0000 0.0000 [1 per cell]
2 Si 0.5000 0.5000 0.8618 [1 per cell]
3 Sb 0.0000 0.0000 0.6354 [1 per cell]
4 Sb 0.5000 0.5000 0.2331 [1 per cell]

Density functional theory data (GGA-PBE) for a relaxed LiSm2Ga3 crystal.

Computed properties:
E_tot	-189.85	eV per cell

Cell: 7.4173 9.0285 15.6252 Å, 90.00 90.00 90.00°
Space group Fmmm (No. 69)
Unique sites:
1 Li 0.0000 0.0000 0.1684 [8 per cell]
2 Sm 0.2454 0.0000 0.0000 [8 per cell]
3 Sm 0.2500 0.2500 0.2500 [8 per cell]
4 Ga 0.0000 0.0000 0.3338 [8 per cell]
5 Ga 0.0000 0.2481 0.4160 [16 per cell]

Density functional theory data (GGA-PBE) for a relaxed LiY2Ta crystal.

Computed properties:
E_tot	-91.79	eV per cell

Cell: 4.4276 4.4276 20.3136 Å, 90.00 90.00 90.00°
Space group I-42d (No. 122)
Unique sites:
1 Li 0.0000 0.0000 0.0000 [4 per cell]
2 Y 0.2479 0.2500 0.6250 [8 per cell]
3 Ta 0.0000 0.0000 0.5000 [4 per cell]

Density functional theory data (GGA-PBE) for a relaxed CaGaBr2F crystal.

Computed properties:
energy relative to the elements, uncorrected	-1.882	eV per atom

Cell: 5.7932 5.7932 4.2985 Å, 90.00 90.00 90.00°
Space group P4/mmm (No. 123)
Unique sites:
1 Ca 0.0000 0.0000 0.0000 [1 per cell]
2 Ga 0.5000 0.5000 0.5000 [1 per cell]
3 Br 0.0000 0.5000 0.0000 [2 per cell]
4 F 0.0000 0.0000 0.5000 [1 per cell]

Density functional theory data (GGA-PBE) for a relaxed LiReMo2Au crystal.

Computed properties:
E_tot	-32.21	eV per cell

Cell: 4.7147 4.7147 4.5639 Å, 90.00 90.00 90.00°
Space group P4/mmm (No. 123)
Unique sites:
1 Li 0.0000 0.0000 0.0000 [1 per cell]
2 Re 0.0000 0.0000 0.5000 [1 per cell]
3 Mo 0.0000 0.5000 0.5000 [2 per cell]
4 Au 0.5000 0.5000 0.0000 [1 per cell]

Density functional theory data (GGA-PBE) for a relaxed CoRhSe4 crystal.

Computed properties:
energy relative to the elements, uncorrected	1.132	eV per atom

Cell: 7.7949 7.7949 7.7949 Å, 90.00 90.00 90.00°
Space group F-43m (No. 216)
Unique sites:
1 Co 0.0000 0.0000 0.0000 [4 per cell]
2 Rh 0.2500 0.2500 0.2500 [4 per cell]
3 Se 0.1247 0.1247 0.6247 [16 per cell]

Density functional theory data (GGA-PBE) for a relaxed Zn2Cu2Rh crystal.

Computed properties:
E_tot	-36.35	eV per cell

Cell: 6.8409 6.8409 2.8732 Å, 90.00 90.00 90.00°
Space group P4/mbm (No. 127)
Unique sites:
1 Zn 0.1352 0.3648 0.0000 [4 per cell]
2 Cu 0.1647 0.6647 0.5000 [4 per cell]
3 Rh 0.0000 0.0000 0.0000 [2 per cell]